# MgCu, relaxed, DFT PBE
# DFT total energy: -2.643 eV per atom
# Space-group type: Pmmn, No. 59
data_MgCu
_symmetry_space_group_name_H-M 'P 1'
_symmetry_Int_Tables_number 1
_cell_length_a 9.6950
_cell_length_b 5.7145
_cell_length_c 4.5193
_cell_angle_alpha 90.00
_cell_angle_beta 90.00
_cell_angle_gamma 90.00
loop_
_symmetry_equiv_pos_as_xyz
'x,y,z'
loop_
_atom_site_label
_atom_site_fract_x
_atom_site_fract_y
_atom_site_fract_z
_atom_site_occupancy
Cu1 0.5077 0.5000 0.0000 1
Mg1 0.1259 0.5000 0.5000 1
Mg2 0.4251 0.7475 0.5000 1
Cu2 0.7542 0.7336 0.0000 1
Cu3 0.6930 0.0000 0.5000 1
Cu4 0.9125 0.7664 0.5000 1
Mg3 0.2416 0.2475 0.0000 1
Cu5 0.7542 0.2664 0.0000 1
Mg4 0.5408 0.0000 0.0000 1
Mg5 0.2416 0.7525 0.0000 1
Cu6 0.9737 0.5000 0.0000 1
Mg6 0.6908 0.5000 0.5000 1
Mg7 0.4251 0.2525 0.5000 1
Cu7 0.1589 0.0000 0.5000 1
Cu8 0.9125 0.2336 0.5000 1
Mg8 0.9759 0.0000 0.0000 1